The following is a PBE+U calculation of an optimized crystal structure of TbCoO3, from OQMD.

Output
- energy (eV per cell) = -71.2
- crystal system = trigonal
- V (Å³/cell) = 101.4
- calculated density (g cm⁻³) = 8.70
- space-group type = R-3c (167)

Unit cell a=5.129 b=5.129 c=5.129 alpha=62.85 beta=62.85 gamma=62.85
Sites, in units of the cell vectors:
Tb1 0.250 0.250 0.250
Tb2 0.750 0.750 0.750
Co1 0.000 0.000 0.000
Co2 0.500 0.500 0.500
O1 0.166 0.750 0.334
O2 0.250 0.666 0.834
O3 0.334 0.166 0.750
O4 0.666 0.834 0.250
O5 0.750 0.334 0.166
O6 0.834 0.250 0.666